VASP calculation (GGA-PBE) on a relaxed structure of CaY2InRu.

Values from the calculation:
E_form ... -184 meV per atom
Space group ... P4/mmm, No. 123

Unit cell a=5.2975 b=5.2975 c=5.3566 alpha=90.00 beta=90.00 gamma=90.00
Sites, in units of the cell vectors:
Ca 0.0000 0.0000 0.0000
Y 0.0000 0.5000 0.5000
Y 0.5000 0.0000 0.5000
In 0.5000 0.5000 0.0000
Ru 0.5000 0.5000 0.5000

---

VASP calculation (GGA-PBE) on a relaxed structure of CaIn2S.

Values from the calculation:
E_form (uncorrected) ... -1.9 eV/f.u.
Space group ... I-42d, No. 122

Unit cell a=6.8965 b=6.8965 c=6.8965 alpha=99.59 beta=99.59 gamma=131.82
Sites, in units of the cell vectors:
Ca 0.0000 0.0000 0.0000
Ca 0.7500 0.2500 0.5000
In 0.1823 0.1250 0.5573
In 0.3750 0.8177 0.9427
In 0.5677 0.6250 0.4427
In 0.8750 0.4323 0.0573
S 0.2500 0.7500 0.5000
S 0.5000 0.5000 0.0000

---

VASP calculation (GGA-PBE) on a relaxed structure of Ca3In5S12.

Values from the calculation:
E_form (uncorrected) ... -16.2 eV/f.u.
Space group ... Ia-3d, No. 230

Unit cell a=13.7243 b=13.7243 c=13.7243 alpha=109.47 beta=109.47 gamma=109.47
Sites, in units of the cell vectors:
Ca 0.1250 0.2500 0.3750
Ca 0.1250 0.3750 0.7500
Ca 0.2500 0.3750 0.1250
Ca 0.2500 0.8750 0.6250
Ca 0.3750 0.1250 0.2500
Ca 0.3750 0.7500 0.1250
Ca 0.6250 0.2500 0.8750
Ca 0.6250 0.8750 0.7500
Ca 0.7500 0.1250 0.3750
Ca 0.7500 0.6250 0.8750
Ca 0.8750 0.6250 0.2500
Ca 0.8750 0.7500 0.6250
In 0.0000 0.0000 0.0000
In 0.0000 0.0000 0.5000
In 0.0000 0.5000 0.0000
In 0.0000 0.5000 0.5000
In 0.1250 0.7500 0.8750
In 0.1250 0.8750 0.2500
In 0.2500 0.1250 0.8750
In 0.2500 0.6250 0.3750
In 0.3750 0.2500 0.6250
In 0.3750 0.6250 0.7500
In 0.5000 0.0000 0.0000
In 0.5000 0.0000 0.5000
In 0.5000 0.5000 0.0000
In 0.5000 0.5000 0.5000
In 0.6250 0.3750 0.2500
In 0.6250 0.7500 0.3750
In 0.7500 0.3750 0.6250
In 0.7500 0.8750 0.1250
In 0.8750 0.1250 0.7500
In 0.8750 0.2500 0.1250
S 0.0423 0.2164 0.1286
S 0.0423 0.3259 0.9136
S 0.0864 0.6286 0.4123
S 0.0864 0.9577 0.6741
S 0.0877 0.7164 0.6741
S 0.0877 0.8714 0.4136
S 0.1286 0.0423 0.2164
S 0.1286 0.5864 0.9123
S 0.1741 0.2164 0.5877
S 0.1741 0.4577 0.5864
S 0.2164 0.1286 0.0423
S 0.2164 0.5877 0.1741
S 0.2836 0.3259 0.9123
S 0.2836 0.4577 0.3714
S 0.3259 0.9123 0.2836
S 0.3259 0.9136 0.0423
S 0.3714 0.2836 0.4577
S 0.3714 0.5877 0.9136
S 0.4123 0.0864 0.6286
S 0.4123 0.8259 0.7836
S 0.4136 0.0877 0.8714
S 0.4136 0.8259 0.5423
S 0.4577 0.3714 0.2836
S 0.4577 0.5864 0.1741
S 0.5423 0.4136 0.8259
S 0.5423 0.6286 0.7164
S 0.5864 0.1741 0.4577
S 0.5864 0.9123 0.1286
S 0.5877 0.1741 0.2164
S 0.5877 0.9136 0.3714
S 0.6286 0.4123 0.0864
S 0.6286 0.7164 0.5423
S 0.6741 0.0864 0.9577
S 0.6741 0.0877 0.7164
S 0.7164 0.5423 0.6286
S 0.7164 0.6741 0.0877
S 0.7836 0.4123 0.8259
S 0.7836 0.8714 0.9577
S 0.8259 0.5423 0.4136
S 0.8259 0.7836 0.4123
S 0.8714 0.4136 0.0877
S 0.8714 0.9577 0.7836
S 0.9123 0.1286 0.5864
S 0.9123 0.2836 0.3259
S 0.9136 0.0423 0.3259
S 0.9136 0.3714 0.5877
S 0.9577 0.6741 0.0864
S 0.9577 0.7836 0.8714

---

VASP calculation (GGA-PBE) on a relaxed structure of CaInS.

Values from the calculation:
E_form (uncorrected) ... -3.4 eV/f.u.
Space group ... R-3m, No. 166

Unit cell a=8.7114 b=8.7114 c=8.7114 alpha=32.52 beta=32.52 gamma=32.52
Sites, in units of the cell vectors:
Ca 0.1046 0.1046 0.1046
Ca 0.8954 0.8954 0.8954
In 0.3271 0.3271 0.3271
In 0.6729 0.6729 0.6729
S 0.2180 0.2180 0.2180
S 0.7820 0.7820 0.7820

---

VASP calculation (GGA-PBE) on a relaxed structure of CaIn5S8.

Values from the calculation:
E_form (uncorrected) ... -10.1 eV/f.u.
Space group ... F-43m, No. 216

Unit cell a=7.9328 b=7.9328 c=7.9328 alpha=60.00 beta=60.00 gamma=60.00
Sites, in units of the cell vectors:
Ca 0.0000 0.0000 0.0000
In 0.1201 0.6266 0.6266
In 0.2500 0.2500 0.2500
In 0.6266 0.1201 0.6266
In 0.6266 0.6266 0.1201
In 0.6266 0.6266 0.6266
S 0.3855 0.3855 0.3855
S 0.3855 0.3855 0.8434
S 0.3855 0.8434 0.3855
S 0.4131 0.8623 0.8623
S 0.8434 0.3855 0.3855
S 0.8623 0.4131 0.8623
S 0.8623 0.8623 0.4131
S 0.8623 0.8623 0.8623

---

VASP calculation (GGA-PBE) on a relaxed structure of CaInS2.

Values from the calculation:
E_form (uncorrected) ... -4.7 eV/f.u.
Space group ... P-6m2, No. 187

Unit cell a=4.8505 b=4.8505 c=5.5899 alpha=90.00 beta=90.00 gamma=120.00
Sites, in units of the cell vectors:
Ca 0.0000 0.0000 0.0000
In 0.3333 0.6667 0.5000
S 0.0000 0.0000 0.5000
S 0.3333 0.6667 0.0000

---

VASP calculation (GGA-PBE) on a relaxed structure of CaInS2.

Values from the calculation:
E_form (uncorrected) ... -3.7 eV/f.u.
Space group ... R-3m, No. 166

Unit cell a=8.1236 b=8.1236 c=8.1236 alpha=30.00 beta=30.00 gamma=30.00
Sites, in units of the cell vectors:
Ca 0.0000 0.0000 0.0000
In 0.5000 0.5000 0.5000
S 0.3950 0.3950 0.3950
S 0.6050 0.6050 0.6050

---

VASP calculation (GGA-PBE) on a relaxed structure of CaIn3S.

Values from the calculation:
E_form (uncorrected) ... 3.7 eV/f.u.
Space group ... Pm-3m, No. 221
Offset from the most stable computed form ... 3.64 eV per formula unit

Unit cell a=5.9070 b=5.9070 c=5.9070 alpha=90.00 beta=90.00 gamma=90.00
Sites, in units of the cell vectors:
Ca 0.0000 0.0000 0.0000
In 0.0000 0.0000 0.5000
In 0.0000 0.5000 0.0000
In 0.5000 0.0000 0.0000
S 0.5000 0.5000 0.5000

---

Result set for Fermi-level density of states: 3.60, 3.56, 70.12, 0.85, 2.68, 1.26, 3.25, 6.85 states/eV/cell, one per record in the order listed.